Below is crystalline LiGa2Pd7 at its relaxed geometry, with properties calculated at the PBE level.

a = 4.328 Å, b = 7.111 Å, c = 7.111 Å
α = 118.59°, β = 90.00°, γ = 90.00°
Fractional coordinates of all 10 atoms:
Li (0.000, 0.000, 0.000)
Ga (0.500, 0.702, 0.298)
Ga (0.500, 0.298, 0.702)
Pd (0.000, 0.795, 0.205)
Pd (0.000, 0.205, 0.795)
Pd (0.500, 0.073, 0.304)
Pd (0.500, 0.927, 0.696)
Pd (0.500, 0.304, 0.073)
Pd (0.500, 0.696, 0.927)
Pd (0.500, 0.500, 0.500)

Values from the calculation:
- Raw total energy: -4.49 eV per atom
- Total magnetization: 0.000 μB/cell
- DOS(E_F): 3.8 states/eV/cell
- Energy of formation: -57 meV/atom